Entry 1:
## InCu2Bi (PBE)

Data for a relaxed structure of InCu2Bi.

a = 6.8049 Å, b = 6.8049 Å, c = 6.8049 Å
α = 90.00°, β = 90.00°, γ = 90.00°
Last column: nearest neighbours and their distance in Å.
Sites, in units of the cell vectors:
Cu  0.2269  0.7731  0.7731  4 In 2.67-2.87
Bi  0.5000  0.5000  0.0000  8 Cu 3.05, 4 In 3.40, 2 Bi 3.40
In  0.0000  0.0000  0.0000  8 Cu 2.67
In  0.5000  0.0000  0.0000  8 Cu 2.87
Cu  0.2269  0.2269  0.2269  4 In 2.67-2.87
Cu  0.2269  0.2269  0.7731  4 In 2.67-2.87
In  0.0000  0.0000  0.5000  8 Cu 2.87
Cu  0.2269  0.7731  0.2269  4 In 2.67-2.87
Cu  0.7731  0.2269  0.7731  4 In 2.67-2.87
In  0.0000  0.5000  0.0000  8 Cu 2.87
Bi  0.5000  0.5000  0.5000  8 Cu 3.22, 6 Bi 3.40
Cu  0.7731  0.7731  0.2269  4 In 2.67-2.87
Bi  0.5000  0.0000  0.5000  8 Cu 3.05, 4 In 3.40, 2 Bi 3.40
Cu  0.7731  0.2269  0.2269  4 In 2.67-2.87
Cu  0.7731  0.7731  0.7731  4 In 2.67-2.87
Bi  0.0000  0.5000  0.5000  8 Cu 3.05, 4 In 3.40, 2 Bi 3.40

Its crystal system is cubic. Its space group is Pm-3m (221).

Entry 2:
## Li2ZrInSe4 (PBE)

Data for a relaxed structure of Li2ZrInSe4.

a = 7.4755 Å, b = 7.4755 Å, c = 7.4755 Å
α = 132.54°, β = 132.54°, γ = 69.37°
Last column: nearest neighbours and their distance in Å.
Sites, in units of the cell vectors:
Se  0.6033  0.6104  0.4749  1 Zr 2.56, 2 Li 2.58-2.61, 1 In 2.75
Li  0.7500  0.2500  0.5000  4 Se 2.61
Se  0.3896  0.8645  0.9929  1 Zr 2.56, 2 Li 2.58-2.61, 1 In 2.75
Se  0.1355  0.1284  0.5251  1 Zr 2.56, 2 Li 2.58-2.61, 1 In 2.75
Se  0.8716  0.3967  0.0071  1 Zr 2.56, 2 Li 2.58-2.61, 1 In 2.75
Li  0.5000  0.5000  0.0000  4 Se 2.58
In  0.0000  0.0000  0.0000  4 Se 2.75
Zr  0.2500  0.7500  0.5000  4 Se 2.56

Its crystal system is tetragonal. Its space group is I-4 (82).

Entry 3:
## SbAu2 (PBE)

Data for a relaxed structure of SbAu2.

a = 4.6091 Å, b = 4.6091 Å, c = 4.6091 Å
α = 60.00°, β = 60.00°, γ = 60.00°
Last column: nearest neighbours and their distance in Å.
Sites, in units of the cell vectors:
Sb  0.0000  0.0000  0.0000  8 Au 2.82
Au  0.7500  0.7500  0.7500  4 Sb 2.82
Au  0.2500  0.2500  0.2500  4 Sb 2.82

Its crystal system is cubic. Its space group is Fm-3m (225).

Entry 4:
## Zn3Ge (PBE)

Data for a relaxed structure of Zn3Ge.

a = 5.5621 Å, b = 5.6173 Å, c = 4.8319 Å
α = 90.00°, β = 90.00°, γ = 119.69°
Last column: nearest neighbours and their distance in Å.
Sites, in units of the cell vectors:
Zn  0.3381  0.6678  0.5000  8 Zn 2.74-2.91, 4 Ge 2.78-2.91
Zn  0.8298  0.6678  0.5000  8 Zn 2.74-2.91, 4 Ge 2.78-2.91
Ge  0.0016  0.5032  0.0000  10 Zn 2.78-2.91, 2 Ge 2.93
Zn  0.4953  0.9988  0.0000  8 Zn 2.74-2.91, 4 Ge 2.78-2.91
Zn  0.4991  0.4983  0.0000  2 Ge 2.78, 10 Zn 2.79-2.90
Ge  0.8317  0.1634  0.5000  10 Zn 2.78-2.91, 2 Ge 2.93
Zn  0.3342  0.1684  0.5000  2 Ge 2.78, 10 Zn 2.79-2.90
Zn  0.0035  0.9988  0.0000  8 Zn 2.74-2.91, 4 Ge 2.78-2.91

Its crystal system is orthorhombic. Its space group is Cmcm (63).

no.,raw total energy (Ry/atom)
1,-0.24472
2,-0.33868
3,-0.25766
4,-0.14396